# 1
Entry from Alexandria via LeMat-Bulk: a relaxed LiCu2Pb crystal (PBEsol).

a b c (Å): 6.2182 6.2182 6.2182
angles (deg): 90.00 90.00 90.00
Closest atoms and distances in Å follow each position.
Element x y z (fractional)
1 Li 0.0000 0.0000 0.0000  4 Cu 2.69, 4 Pb 2.69
2 Li 0.0000 0.5000 0.5000  4 Pb 2.69, 4 Cu 2.69
3 Li 0.5000 0.0000 0.5000  4 Pb 2.69, 4 Cu 2.69
4 Li 0.5000 0.5000 0.0000  4 Pb 2.69, 4 Cu 2.69
5 Cu 0.0000 0.0000 0.5000  4 Pb 2.69, 4 Cu 2.69
6 Cu 0.0000 0.5000 0.0000  4 Pb 2.69, 4 Cu 2.69
7 Cu 0.2500 0.2500 0.7500  4 Li 2.69, 4 Cu 2.69
8 Cu 0.2500 0.7500 0.2500  4 Li 2.69, 4 Cu 2.69
9 Cu 0.5000 0.0000 0.0000  4 Pb 2.69, 4 Cu 2.69
10 Cu 0.5000 0.5000 0.5000  4 Pb 2.69, 4 Cu 2.69
11 Cu 0.7500 0.2500 0.2500  4 Li 2.69, 4 Cu 2.69
12 Cu 0.7500 0.7500 0.7500  4 Li 2.69, 4 Cu 2.69
13 Pb 0.2500 0.2500 0.2500  4 Li 2.69, 4 Cu 2.69
14 Pb 0.2500 0.7500 0.7500  4 Li 2.69, 4 Cu 2.69
15 Pb 0.7500 0.2500 0.7500  4 Li 2.69, 4 Cu 2.69
16 Pb 0.7500 0.7500 0.2500  4 Li 2.69, 4 Cu 2.69

Summary:
Its space group is F-43m, No. 216. The magnetic moment comes out at 0.00 μB per cell. The total energy is -3.628 eV/atom. The value obtained for the calculated volume is 240.43 Å³ per cell. The calculated formation energy is 0.03 eV per atom.

---

# 2
Entry from Alexandria via LeMat-Bulk: a relaxed ScAg5 crystal (PBEsol).

a b c (Å): 9.1808 4.0552 5.8074
angles (deg): 90.00 107.68 90.00
Closest atoms and distances in Å follow each position.
Element x y z (fractional)
1 Sc 0.0000 0.0000 0.0000  12 Ag 2.88-2.92
2 Sc 0.5000 0.5000 0.0000  12 Ag 2.88-2.92
3 Ag 0.0000 0.0000 0.5000  10 Ag 2.87-2.91, 2 Sc 2.90
4 Ag 0.1661 0.5000 0.8321  3 Sc 2.88-2.92, 9 Ag 2.88-2.93
5 Ag 0.1673 0.5000 0.3363  10 Ag 2.87-2.93, 2 Sc 2.91
6 Ag 0.3327 0.0000 0.6637  10 Ag 2.87-2.93, 2 Sc 2.91
7 Ag 0.3339 0.0000 0.1679  3 Sc 2.88-2.92, 9 Ag 2.88-2.93
8 Ag 0.5000 0.5000 0.5000  10 Ag 2.87-2.91, 2 Sc 2.90
9 Ag 0.6661 0.0000 0.8321  3 Sc 2.88-2.92, 9 Ag 2.88-2.93
10 Ag 0.6673 0.0000 0.3363  10 Ag 2.87-2.93, 2 Sc 2.91
11 Ag 0.8327 0.5000 0.6637  10 Ag 2.87-2.93, 2 Sc 2.91
12 Ag 0.8339 0.5000 0.1679  3 Sc 2.88-2.92, 9 Ag 2.88-2.93

Summary:
Its space group is C2/m, No. 12. The magnetic moment comes out at 0.00 μB per cell. The total energy is -3.989 eV/atom. The value obtained for the calculated volume is 205.99 Å³ per cell. The calculated formation energy is -0.13 eV per atom.

---

# 3
Entry from Alexandria via LeMat-Bulk: a relaxed NaSc2Nb2 crystal (PBEsol).

a b c (Å): 4.1295 4.1295 13.2796
angles (deg): 90.00 90.00 90.00
Closest atoms and distances in Å follow each position.
Element x y z (fractional)
1 Na 0.0000 0.0000 0.0000  8 Nb 3.14
2 Na 0.5000 0.5000 0.5000  8 Nb 3.14
3 Sc 0.0000 0.5000 0.2500  4 Sc 2.92, 4 Nb 2.99
4 Sc 0.0000 0.5000 0.7500  4 Sc 2.92, 4 Nb 2.99
5 Sc 0.5000 0.0000 0.2500  4 Sc 2.92, 4 Nb 2.99
6 Sc 0.5000 0.0000 0.7500  4 Sc 2.92, 4 Nb 2.99
7 Nb 0.0000 0.0000 0.4126  1 Nb 2.32
8 Nb 0.0000 0.0000 0.5874  1 Nb 2.32
9 Nb 0.5000 0.5000 0.0874  1 Nb 2.32
10 Nb 0.5000 0.5000 0.9126  1 Nb 2.32

Summary:
Its space group is I4/mmm, No. 139. The magnetic moment comes out at 0.00 μB per cell. The total energy is -6.308 eV/atom. The value obtained for the calculated volume is 226.46 Å³ per cell. The calculated formation energy is 0.94 eV per atom.

---

# 4
Entry from Alexandria via LeMat-Bulk: a relaxed Na5NiCO5 crystal (PBEsol).

a b c (Å): 4.4423 8.2530 4.8306
angles (deg): 90.00 90.00 90.00
Closest atoms and distances in Å follow each position.
Element x y z (fractional)
1 Na 0.0000 0.0000 0.0000  4 O 2.38-2.41
2 Na 0.0000 0.2826 0.4630  4 O 2.40-2.54
3 Na 0.0000 0.7174 0.4630  4 O 2.40-2.54
4 Na 0.5000 0.2599 0.9706  4 O 2.23-2.34
5 Na 0.5000 0.7401 0.9706  4 O 2.23-2.34
6 Ni 0.0000 0.5000 0.9609  2 O 1.75
7 C 0.5000 0.0000 0.5380  3 O 1.30
8 O 0.0000 0.2878 0.9604  1 Ni 1.75
9 O 0.0000 0.7122 0.9604  1 Ni 1.75
10 O 0.5000 0.0000 0.8067  1 C 1.30
11 O 0.5000 0.1376 0.4068  1 C 1.30
12 O 0.5000 0.8624 0.4068  1 C 1.30

Summary:
Its space group is Pmm2, No. 25. The magnetic moment comes out at 1.00 μB per cell. The total energy is -5.452 eV/atom. Its formation energy (no corrections) is -1.3643 eV per atom. The value obtained for the calculated volume is 177.10 Å³ per cell.

---

# 5
Entry from Alexandria via LeMat-Bulk: a relaxed ZrAs2Br crystal (PBEsol).

a b c (Å): 3.5259 3.8026 7.1774
angles (deg): 90.00 90.00 90.00
Closest atoms and distances in Å follow each position.
Element x y z (fractional)
1 Zr 0.0000 0.0000 0.0000  4 As 2.71, 2 Br 2.73
2 As 0.0000 0.5000 0.3466  2 As 2.46
3 As 0.5000 0.5000 0.1074  2 As 2.46, 4 Zr 2.71
4 Br 0.5000 0.0000 0.7102  2 Zr 2.73

Summary:
The value obtained for the offset from the most stable computed form is 0.000 eV/atom. Its space group is Pmm2, No. 25. The magnetic moment comes out at 0.00 μB per cell. The total energy is -5.932 eV/atom. Its formation energy (no corrections) is -0.6385 eV per atom. The value obtained for the calculated volume is 96.23 Å³ per cell.

---

# 6
Entry from Alexandria via LeMat-Bulk: a relaxed RePtW2 crystal (PBEsol).

a b c (Å): 3.9314 3.9314 3.8953
angles (deg): 90.00 90.00 90.00
Closest atoms and distances in Å follow each position.
Element x y z (fractional)
1 Re 0.0000 0.0000 0.0000  8 W 2.77, 4 Pt 2.78
2 Pt 0.5000 0.5000 0.0000  8 W 2.77, 4 Re 2.78
3 W 0.0000 0.5000 0.5000  4 Re 2.77, 4 Pt 2.77, 4 W 2.78
4 W 0.5000 0.0000 0.5000  4 Re 2.77, 4 Pt 2.77, 4 W 2.78

Summary:
The value obtained for the offset from the most stable computed form is 0.000 eV/atom. Its space group is P4/mmm, No. 123. The magnetic moment comes out at 0.00 μB per cell. The total energy is -12.078 eV/atom. The value obtained for the calculated volume is 60.21 Å³ per cell. The calculated formation energy is -0.10 eV per atom.

---

# 7
Entry from Alexandria via LeMat-Bulk: a relaxed LiFePO4 crystal (PBEsol).

a b c (Å): 4.3023 4.3023 8.9671
angles (deg): 90.00 90.00 90.00
Closest atoms and distances in Å follow each position.
Element x y z (fractional)
1 Li 0.0000 0.0000 0.0000  4 O 1.99
2 Li 0.5000 0.5000 0.5000  4 O 1.99
3 Fe 0.0000 0.5000 0.7500  4 O 1.97
4 Fe 0.5000 0.0000 0.2500  4 O 1.97
5 P 0.0000 0.0000 0.5000  4 O 1.55
6 P 0.5000 0.5000 0.0000  4 O 1.55
7 O 0.1890 0.7720 0.5990  1 P 1.55
8 O 0.2280 0.1890 0.4010  1 P 1.55
9 O 0.2720 0.3110 0.9010  1 P 1.55
10 O 0.3110 0.7280 0.0990  1 P 1.55
11 O 0.6890 0.2720 0.0990  1 P 1.55
12 O 0.7280 0.6890 0.9010  1 P 1.55
13 O 0.7720 0.8110 0.4010  1 P 1.55
14 O 0.8110 0.2280 0.5990  1 P 1.55

Summary:
The value obtained for the offset from the most stable computed form is 0.043 eV/atom. Its space group is I-4, No. 82. The magnetic moment comes out at 8.00 μB per cell. The total energy is -7.257 eV/atom. Its formation energy (no corrections) is -1.8689 eV per atom. The value obtained for the calculated volume is 165.98 Å³ per cell.

---

# 8
Entry from Alexandria via LeMat-Bulk: a relaxed Co5Rh crystal (PBEsol).

a b c (Å): 3.9553 4.9305 6.8578
angles (deg): 90.00 90.00 90.00
Closest atoms and distances in Å follow each position.
Element x y z (fractional)
1 Co 0.0000 0.0000 0.0000  2 Rh 2.47, 12 Co 2.59-2.61
2 Co 0.0000 0.2534 0.3336  5 Co 2.28-2.50
3 Co 0.0000 0.2534 0.6664  5 Co 2.28-2.50
4 Co 0.0000 0.7466 0.3336  5 Co 2.28-2.50
5 Co 0.0000 0.7466 0.6664  5 Co 2.28-2.50
6 Co 0.5000 0.2466 0.1664  5 Co 2.28-2.50
7 Co 0.5000 0.2466 0.8336  5 Co 2.28-2.50
8 Co 0.5000 0.5000 0.5000  2 Rh 2.47, 12 Co 2.59-2.61
9 Co 0.5000 0.7534 0.1664  5 Co 2.28-2.50
10 Co 0.5000 0.7534 0.8336  5 Co 2.28-2.50
11 Rh 0.0000 0.5000 0.0000  14 Co 2.47-2.60
12 Rh 0.5000 0.0000 0.5000  14 Co 2.47-2.60

Summary:
Its space group is Immm, No. 71. The magnetic moment comes out at 18.57 μB per cell. The total energy is -7.712 eV/atom. The value obtained for the calculated volume is 133.74 Å³ per cell. The calculated formation energy is 0.09 eV per atom.

---

# 9
Entry from Alexandria via LeMat-Bulk: a relaxed Li6Bi2O7 crystal (PBEsol).

a b c (Å): 5.5337 6.2188 10.7375
angles (deg): 90.00 109.56 90.00
Closest atoms and distances in Å follow each position.
Element x y z (fractional)
1 Li 0.1522 0.0067 0.1196  4 O 1.94-2.06
2 Li 0.1522 0.4933 0.6196  4 O 1.94-2.06
3 Li 0.1904 0.2127 0.3535  3 O 1.99-2.19
4 Li 0.1904 0.2873 0.8535  3 O 1.99-2.19
5 Li 0.2252 0.7434 0.8642  5 O 2.07-2.29
6 Li 0.2252 0.7566 0.3642  5 O 2.07-2.29
7 Li 0.7748 0.2434 0.6358  5 O 2.07-2.29
8 Li 0.7748 0.2566 0.1358  5 O 2.07-2.29
9 Li 0.8096 0.7127 0.1465  3 O 1.99-2.19
10 Li 0.8096 0.7873 0.6465  3 O 1.99-2.19
11 Li 0.8478 0.5067 0.3804  4 O 1.94-2.06
12 Li 0.8478 0.9933 0.8804  4 O 1.94-2.06
13 Bi 0.2715 0.0153 0.6336  6 O 2.16-2.33
14 Bi 0.2715 0.4847 0.1336  6 O 2.16-2.33
15 Bi 0.7285 0.5153 0.8664  6 O 2.16-2.33
16 Bi 0.7285 0.9847 0.3664  6 O 2.16-2.33
17 O 0.0228 0.7480 0.0083  4 Li 1.99-2.19
18 O 0.0228 0.7520 0.5083  4 Li 1.99-2.19
19 O 0.0267 0.0216 0.7536  4 Li 1.94-2.07, 1 Bi 2.16
20 O 0.0267 0.4784 0.2536  4 Li 1.94-2.07, 1 Bi 2.16
21 O 0.4650 0.1822 0.2134  2 Li 2.01-2.19, 2 Bi 2.17-2.19
22 O 0.4650 0.3178 0.7134  2 Li 2.01-2.19, 2 Bi 2.17-2.19
23 O 0.5000 0.0000 0.5000  2 Bi 2.21, 4 Li 2.29-2.31
24 O 0.5000 0.5000 0.0000  2 Bi 2.21, 4 Li 2.29-2.31
25 O 0.5350 0.6822 0.2866  2 Li 2.01-2.19, 2 Bi 2.17-2.19
26 O 0.5350 0.8178 0.7866  2 Li 2.01-2.19, 2 Bi 2.17-2.19
27 O 0.9733 0.5216 0.7464  4 Li 1.94-2.07, 1 Bi 2.16
28 O 0.9733 0.9784 0.2464  4 Li 1.94-2.07, 1 Bi 2.16
29 O 0.9772 0.2480 0.4917  4 Li 1.99-2.19
30 O 0.9772 0.2520 0.9917  4 Li 1.99-2.19

Summary:
Its space group is P2_1/c, No. 14. The magnetic moment comes out at 0.00 μB per cell. The total energy is -5.415 eV/atom. Its formation energy (no corrections) is -1.6069 eV per atom. The value obtained for the calculated volume is 348.19 Å³ per cell.

---

# 10
Entry from Alexandria via LeMat-Bulk: a relaxed SrNi3Os crystal (PBEsol).

a b c (Å): 4.5573 4.5573 4.5573
angles (deg): 90.00 90.00 90.00
Closest atoms and distances in Å follow each position.
Element x y z (fractional)
1 Sr 0.0000 0.0000 0.0000  12 Ni 3.22
2 Ni 0.0000 0.5000 0.5000  2 Os 2.28
3 Ni 0.5000 0.0000 0.5000  2 Os 2.28
4 Ni 0.5000 0.5000 0.0000  2 Os 2.28
5 Os 0.5000 0.5000 0.5000  6 Ni 2.28

Summary:
Its space group is Pm-3m, No. 221. The magnetic moment comes out at 0.00 μB per cell. The total energy is -5.803 eV/atom. The value obtained for the calculated volume is 94.65 Å³ per cell. The calculated formation energy is 0.70 eV per atom.

---

# 11
Entry from Alexandria via LeMat-Bulk: a relaxed LaNbRhC2 crystal (PBEsol).

a b c (Å): 4.2301 4.2301 4.7945
angles (deg): 90.00 90.00 90.00
Closest atoms and distances in Å follow each position.
Element x y z (fractional)
1 La 0.0000 0.0000 0.0000  4 C 2.12
2 Nb 0.5000 0.5000 0.5000  4 Rh 2.99, 8 C 3.20
3 Rh 0.0000 0.0000 0.5000  2 La 2.40
4 C 0.0000 0.5000 0.0000  2 La 2.12
5 C 0.5000 0.0000 0.0000  2 La 2.12

Summary:
Its space group is P4/mmm, No. 123. The magnetic moment comes out at 0.11 μB per cell. The total energy is -6.273 eV/atom. The value obtained for the calculated volume is 85.79 Å³ per cell. The calculated formation energy is 2.45 eV per atom.

---

# 12
Entry from Alexandria via LeMat-Bulk: a relaxed Al2HgTe4 crystal (PBEsol).

a b c (Å): 6.1182 6.1182 11.7991
angles (deg): 90.00 90.00 90.00
Closest atoms and distances in Å follow each position.
Element x y z (fractional)
1 Al 0.0000 0.0000 0.0000  4 Te 2.63
2 Al 0.0000 0.5000 0.2500  4 Te 2.64
3 Al 0.5000 0.0000 0.7500  4 Te 2.64
4 Al 0.5000 0.5000 0.5000  4 Te 2.63
5 Hg 0.0000 0.0000 0.5000  4 Te 2.82
6 Hg 0.5000 0.5000 0.0000  4 Te 2.82
7 Te 0.2205 0.2523 0.8598  2 Al 2.63-2.64, 1 Hg 2.82
8 Te 0.2477 0.7205 0.6402  2 Al 2.63-2.64, 1 Hg 2.82
9 Te 0.2523 0.7795 0.1402  2 Al 2.63-2.64, 1 Hg 2.82
10 Te 0.2795 0.2477 0.3598  2 Al 2.63-2.64, 1 Hg 2.82
11 Te 0.7205 0.7523 0.3598  2 Al 2.63-2.64, 1 Hg 2.82
12 Te 0.7477 0.2205 0.1402  2 Al 2.63-2.64, 1 Hg 2.82
13 Te 0.7523 0.2795 0.6402  2 Al 2.63-2.64, 1 Hg 2.82
14 Te 0.7795 0.7477 0.8598  2 Al 2.63-2.64, 1 Hg 2.82

Summary:
Its space group is I-4, No. 82. The magnetic moment comes out at 0.00 μB per cell. The total energy is -3.599 eV/atom. Its formation energy (no corrections) is -0.3343 eV per atom. The value obtained for the calculated volume is 441.66 Å³ per cell.